A plane-wave DFT calculation with PBE-GGA was carried out for a geometry-optimized Na2TlCoAu structure.

Geometry as extended XYZ:
```
5
Lattice="-0.936 5.577 1.359 -4.699 -1.219 1.767 2.228 -0.916 5.294" Properties=species:S:1:pos:R:3 pbc="T T T"
Tl 0.000 0.000 0.000
Na -0.468 2.789 0.679
Na 1.114 -0.458 2.647
Co -1.703 1.721 4.210
Au -2.349 -0.609 0.883
```

Total magnetic moment: 2.31 μB/cell
Energy relative to the elements: 4.6 eV per formula unit
SG: P4/mmm
Density of states at the Fermi level: 0.776 states/eV per atom